No. 1
The following is a DFT calculation (PBE) of an optimized crystal structure of Ta3Ni.

Summary:
M_tot = 0.0 μB per formula unit
electronic total energy = -10.046 eV per atom

```
data_Ta3Ni
_chemical_formula_sum 'Ta3 Ni1'
_cell_length_a 2.8405
_cell_length_b 2.7401
_cell_length_c 8.8841
_cell_angle_alpha 90.00
_cell_angle_beta 90.00
_cell_angle_gamma 90.00
_symmetry_space_group_name_H-M 'P 1'
_symmetry_Int_Tables_number 1
loop_
_symmetry_equiv_pos_as_xyz
'x,y,z'
loop_
_atom_site_label
_atom_site_type_symbol
_atom_site_fract_x
_atom_site_fract_y
_atom_site_fract_z
Ni1 Ni 0.0000 0.0000 0.9707
Ta1 Ta 0.0000 0.5000 0.4644
Ta2 Ta 0.5000 0.5000 0.1734
Ta3 Ta 0.5000 0.0000 0.7248
```

=====

No. 2
The following is a DFT calculation (PBE) of an optimized crystal structure of Ta5Ni.

Summary:
M_tot = 0.0 μB per formula unit
electronic total energy = -10.860 eV per atom

```
data_Ta5Ni
_chemical_formula_sum 'Ta5 Ni1'
_cell_length_a 6.9207
_cell_length_b 6.9207
_cell_length_c 4.5958
_cell_angle_alpha 90.00
_cell_angle_beta 90.00
_cell_angle_gamma 152.22
_symmetry_space_group_name_H-M 'P 1'
_symmetry_Int_Tables_number 1
loop_
_symmetry_equiv_pos_as_xyz
'x,y,z'
loop_
_atom_site_label
_atom_site_type_symbol
_atom_site_fract_x
_atom_site_fract_y
_atom_site_fract_z
Ta1 Ta 0.1660 0.8340 0.5000
Ta2 Ta 0.3397 0.6603 0.0000
Ta3 Ta 0.5000 0.5000 0.5000
Ta4 Ta 0.6603 0.3397 0.0000
Ta5 Ta 0.8340 0.1660 0.5000
Ni1 Ni 0.0000 0.0000 0.0000
```

=====

No. 3
The following is a DFT calculation (PBE) of an optimized crystal structure of TaNi.

Summary:
M_tot = 0.0 μB per formula unit
electronic total energy = -9.042 eV per atom

```
data_TaNi
_chemical_formula_sum 'Ta6 Ni6'
_cell_length_a 4.9648
_cell_length_b 4.9648
_cell_length_c 8.0966
_cell_angle_alpha 90.00
_cell_angle_beta 90.00
_cell_angle_gamma 120.00
_symmetry_space_group_name_H-M 'P 1'
_symmetry_Int_Tables_number 1
loop_
_symmetry_equiv_pos_as_xyz
'x,y,z'
loop_
_atom_site_label
_atom_site_type_symbol
_atom_site_fract_x
_atom_site_fract_y
_atom_site_fract_z
Ta1 Ta 0.6667 0.3333 0.9334
Ta2 Ta 0.3333 0.6667 0.4334
Ta3 Ta 0.6667 0.3333 0.5666
Ta4 Ta 0.3333 0.6667 0.0666
Ta5 Ta 0.0000 0.0000 0.5000
Ta6 Ta 0.0000 0.0000 0.0000
Ni1 Ni 0.1732 0.8268 0.7500
Ni2 Ni 0.8268 0.6536 0.2500
Ni3 Ni 0.3464 0.1732 0.2500
Ni4 Ni 0.6536 0.8268 0.7500
Ni5 Ni 0.1732 0.3464 0.7500
Ni6 Ni 0.8268 0.1732 0.2500
```